1.
Here is a relaxed structure of TlHRu2I from Alexandria. Energies are from GGA-PBE.

Unit cell a=4.4619 b=4.4619 c=3.9702 alpha=90.00 beta=90.00 gamma=90.00
Positions (direct):
Tl 0.0000 0.0000 0.0000
H 0.0000 0.0000 0.5000
Ru 0.0000 0.5000 0.5000
Ru 0.5000 0.0000 0.5000
I 0.5000 0.5000 0.0000

raw total energy: -4.14 eV per atom

---

2.
Here is a relaxed structure of Pm2TlPd6 from Alexandria. Energies are from GGA-PBE.

Unit cell a=7.7225 b=7.7225 c=3.8036 alpha=104.23 beta=104.23 gamma=66.39
Positions (direct):
Pm 0.1621 0.1621 0.1607
Pm 0.8379 0.8379 0.8393
Tl 0.5000 0.5000 0.5000
Pd 0.0965 0.5738 0.3357
Pd 0.2535 0.7465 0.0000
Pd 0.4262 0.9035 0.6643
Pd 0.5738 0.0965 0.3357
Pd 0.7465 0.2535 0.0000
Pd 0.9035 0.4262 0.6643

raw total energy: -5.18 eV per atom
energy of formation: -0.399 eV/atom

---

3.
Here is a relaxed structure of Ag2SnPb2 from Alexandria. Energies are from GGA-PBE.

Unit cell a=9.1455 b=9.1455 c=9.1455 alpha=155.33 beta=155.33 gamma=35.16
Positions (direct):
Ag 0.2500 0.7500 0.5000
Ag 0.7500 0.2500 0.5000
Sn 0.0000 0.0000 0.0000
Pb 0.3916 0.3916 0.0000
Pb 0.6084 0.6084 0.0000

polymorph energy (0 for the lowest one): 62 meV per atom
raw total energy: -3.28 eV per atom
energy of formation: 0.140 eV/atom